[1]
Compound: CaSiOs2
Source: Alexandria via LeMat-Bulk
Functional: PBE-GGA
Structure: relaxed

Values from the calculation:
Theoretical density, Mg/m³: 10.9
Uncorrected energy, eV/atom: -7.318
Uncorrected formation energy, eV/atom: 0.15

```
data_CaSiOs2
_chemical_formula_sum 'Ca2 Si2 Os4'
_symmetry_space_group_name_H-M 'C 1 2/m 1'
_symmetry_Int_Tables_number 12
_symmetry_space_group_name_Hall '-C 2y'
_cell_length_a 9.320
_cell_length_b 2.948
_cell_length_c 5.285
_cell_angle_alpha 90.00
_cell_angle_beta 109.38
_cell_angle_gamma 90.00
loop_
_atom_site_label
_atom_site_type_symbol
_atom_site_fract_x
_atom_site_fract_y
_atom_site_fract_z
Ca1 Ca 0.000 0.000 0.000
Si1 Si 0.000 0.500 0.500
Os1 Os 0.215 0.000 0.676
```

[2]
Compound: Eu2CoAg
Source: Alexandria via LeMat-Bulk
Functional: PBE-GGA
Structure: relaxed

Values from the calculation:
Theoretical density, Mg/m³: 8.1
Formation energy, eV/atom: 0.00
Uncorrected energy, eV/atom: -7.631

```
data_Eu2CoAg
_chemical_formula_sum 'Eu2 Co1 Ag1'
_symmetry_space_group_name_H-M 'P 4/m m m'
_symmetry_Int_Tables_number 123
_symmetry_space_group_name_Hall '-P 4 2'
_cell_length_a 3.548
_cell_length_b 3.548
_cell_length_c 7.669
_cell_angle_alpha 90.00
_cell_angle_beta 90.00
_cell_angle_gamma 90.00
loop_
_atom_site_label
_atom_site_type_symbol
_atom_site_fract_x
_atom_site_fract_y
_atom_site_fract_z
Eu1 Eu 0.000 0.000 0.222
Co1 Co 0.500 0.500 0.000
Ag1 Ag 0.500 0.500 0.500
```

What did the first record say?
Compound: CaSiOs2
Source: Alexandria via LeMat-Bulk
Functional: PBE-GGA
Structure: relaxed

Values from the calculation:
Theoretical density, Mg/m³: 10.9
Uncorrected energy, eV/atom: -7.318
Uncorrected formation energy, eV/atom: 0.15

```
data_CaSiOs2
_chemical_formula_sum 'Ca2 Si2 Os4'
_symmetry_space_group_name_H-M 'C 1 2/m 1'
_symmetry_Int_Tables_number 12
_symmetry_space_group_name_Hall '-C 2y'
_cell_length_a 9.320
_cell_length_b 2.948
_cell_length_c 5.285
_cell_angle_alpha 90.00
_cell_angle_beta 109.38
_cell_angle_gamma 90.00
loop_
_atom_site_label
_atom_site_type_symbol
_atom_site_fract_x
_atom_site_fract_y
_atom_site_fract_z
Ca1 Ca 0.000 0.000 0.000
Si1 Si 0.000 0.500 0.500
Os1 Os 0.215 0.000 0.676
```